Version A
Entry from Alexandria: a relaxed CsPI2N crystal (PBE).

Calculated values
- Total moment: 4.941 μB/cell

Unit cell a=7.4318 b=7.4318 c=6.5845 alpha=90.00 beta=90.00 gamma=90.00
Last column: magnetic moment on the atom in μB.
Atoms (fractional coordinates):
Cs 0.0000 0.0000 0.0000  0.02
I 0.0000 0.5000 0.0000  -0.24
I 0.5000 0.0000 0.0000  -0.24
N 0.0000 0.0000 0.5000  1.93
P 0.5000 0.5000 0.5000  1.17

---

Version B
Entry from Alexandria: a relaxed CsPI2N crystal (PBE).

Calculated values
- Total moment: 0.000 μB/cell

Unit cell a=6.7865 b=6.7865 c=3.4437 alpha=90.00 beta=90.00 gamma=90.00
Atoms (fractional coordinates):
Cs 0.5000 0.5000 0.5000
I 0.0000 0.5000 0.0000
I 0.5000 0.0000 0.0000
N 0.0000 0.0000 0.5000
P 0.0000 0.0000 0.0000

---

Of them, version B has the highest stability.

---

Version A
Entry from Alexandria: a relaxed CsRbIN2 crystal (PBE).

Calculated values
- Total moment: 5.000 μB/cell

Unit cell a=5.7401 b=5.7401 c=7.3763 alpha=90.00 beta=90.00 gamma=90.00
Last column: magnetic moment on the atom in μB.
Atoms (fractional coordinates):
Cs 0.5000 0.5000 0.5000  0.00
I 0.0000 0.0000 0.5000  0.02
Rb 0.0000 0.0000 0.0000  0.03
N 0.0000 0.5000 0.0000  1.55
N 0.5000 0.0000 0.0000  1.55

---

Version B
Entry from Alexandria: a relaxed CsRbIN2 crystal (PBE).

Calculated values
- Total moment: 3.287 μB/cell

Unit cell a=4.8074 b=4.8074 c=7.3575 alpha=90.00 beta=90.00 gamma=90.00
Last column: magnetic moment on the atom in μB.
Atoms (fractional coordinates):
Cs 0.0000 0.0000 0.0000  0.10
I 0.0000 0.0000 0.5000  0.02
Rb 0.5000 0.5000 0.5000  0.00
N 0.0000 0.5000 0.0000  1.05
N 0.5000 0.0000 0.0000  1.05

---

Of them, version A has the highest stability.

---

Version A
Entry from Alexandria: a relaxed CsReIN2 crystal (PBE).

Calculated values
- Total moment: 6.688 μB/cell

Unit cell a=4.4878 b=4.4878 c=7.2440 alpha=90.00 beta=90.00 gamma=90.00
Last column: magnetic moment on the atom in μB.
Atoms (fractional coordinates):
Cs 0.0000 0.0000 0.0000  0.00
Re 0.5000 0.5000 0.5000  3.79
I 0.0000 0.0000 0.5000  0.04
N 0.0000 0.5000 0.0000  0.66
N 0.5000 0.0000 0.0000  0.66

---

Version B
Entry from Alexandria: a relaxed CsReIN2 crystal (PBE).

Calculated values
- Total moment: 0.000 μB/cell

Unit cell a=4.2763 b=4.2763 c=5.6893 alpha=90.00 beta=90.00 gamma=90.00
Atoms (fractional coordinates):
Cs 0.5000 0.5000 0.5000
Re 0.0000 0.0000 0.0000
I 0.0000 0.0000 0.5000
N 0.0000 0.5000 0.0000
N 0.5000 0.0000 0.0000

---

Of them, version B has the highest stability.

---

Version A
Entry from Alexandria: a relaxed CsRhIN2 crystal (PBE).

Calculated values
- Total moment: 3.930 μB/cell

Unit cell a=4.5662 b=4.5662 c=5.5654 alpha=90.00 beta=90.00 gamma=90.00
Last column: magnetic moment on the atom in μB.
Atoms (fractional coordinates):
Cs 0.5000 0.5000 0.5000  0.01
I 0.0000 0.0000 0.5000  0.01
Rh 0.0000 0.0000 0.0000  0.61
N 0.0000 0.5000 0.0000  1.11
N 0.5000 0.0000 0.0000  1.11

---

Version B
Entry from Alexandria: a relaxed CsRhIN2 crystal (PBE).

Calculated values
- Total moment: 3.978 μB/cell

Unit cell a=4.4462 b=4.4462 c=7.6904 alpha=90.00 beta=90.00 gamma=90.00
Last column: magnetic moment on the atom in μB.
Atoms (fractional coordinates):
Cs 0.0000 0.0000 0.0000  0.01
I 0.0000 0.0000 0.5000  0.06
Rh 0.5000 0.5000 0.5000  1.53
N 0.0000 0.5000 0.0000  0.73
N 0.5000 0.0000 0.0000  0.73

---

Of them, version A has the highest stability.

---

Version A
Entry from Alexandria: a relaxed CsSIN2 crystal (PBE).

Calculated values
- Total moment: 2.362 μB/cell

Unit cell a=4.4553 b=4.4553 c=7.2028 alpha=90.00 beta=90.00 gamma=90.00
Last column: magnetic moment on the atom in μB.
Atoms (fractional coordinates):
Cs 0.0000 0.0000 0.0000  0.01
I 0.5000 0.5000 0.5000  0.02
S 0.0000 0.0000 0.5000  -0.02
N 0.0000 0.5000 0.0000  0.80
N 0.5000 0.0000 0.0000  0.80

---

Version B
Entry from Alexandria: a relaxed CsSIN2 crystal (PBE).

Calculated values
- Total moment: 3.467 μB/cell

Unit cell a=4.8569 b=4.8569 c=5.6546 alpha=90.00 beta=90.00 gamma=90.00
Last column: magnetic moment on the atom in μB.
Atoms (fractional coordinates):
Cs 0.5000 0.5000 0.5000  0.01
I 0.0000 0.0000 0.5000  0.06
S 0.0000 0.0000 0.0000  -0.07
N 0.0000 0.5000 0.0000  1.15
N 0.5000 0.0000 0.0000  1.15

---

Of them, version B has the highest stability.

---

Version A
Entry from Alexandria: a relaxed CsSI2N crystal (PBE).

Calculated values
- Total moment: 6.045 μB/cell

Unit cell a=7.3336 b=7.3336 c=6.2211 alpha=90.00 beta=90.00 gamma=90.00
Last column: magnetic moment on the atom in μB.
Atoms (fractional coordinates):
Cs 0.0000 0.0000 0.0000  0.03
I 0.0000 0.5000 0.0000  0.32
I 0.5000 0.0000 0.0000  0.32
S 0.5000 0.5000 0.5000  1.20
N 0.0000 0.0000 0.5000  1.92

---

Version B
Entry from Alexandria: a relaxed CsSI2N crystal (PBE).

Calculated values
- Total moment: 0.204 μB/cell

Unit cell a=7.2786 b=7.2786 c=3.3879 alpha=90.00 beta=90.00 gamma=90.00
Last column: magnetic moment on the atom in μB.
Atoms (fractional coordinates):
Cs 0.5000 0.5000 0.5000  0.00
I 0.0000 0.5000 0.0000  0.07
I 0.5000 0.0000 0.0000  0.07
S 0.0000 0.0000 0.0000  0.00
N 0.0000 0.0000 0.5000  0.00

---

Of them, version B has the highest stability.